The following is a GGA-PBE calculation of a relaxed structure of KCoBr4, from Alexandria via LeMat-Bulk.

```
KCoBr4
1.0
-4.3971 3.4204 2.7257
1.2693 -3.1236 5.9674
7.0147 4.5769 -1.4831
K Co Br
2 2 8
Direct
0.8357 0.7500 0.0000
0.1643 0.2500 0.0000
0.5000 0.0000 0.5000
0.0000 0.5000 0.5000
0.5335 0.0740 0.7984
0.7350 0.4260 0.2016
0.4665 0.9260 0.2016
0.2650 0.5740 0.7984
0.8572 0.8288 0.5978
0.2594 0.6712 0.4022
0.1428 0.1712 0.4022
0.7406 0.3288 0.5978
```

Formation energy without anion corrections = -0.6783 eV/atom
V = 324.9 Å³/cell
E above lowest polymorph = 0.0775 eV/atom
Energy = -3.16 eV per atom